Record 1
Cs2Pu3Cl9: relaxed, PBE.

Structure (POSCAR):
```
Cs2Pu3Cl9
1.0
7.788 -4.490 0.000
7.788 4.490 0.000
-5.111 0.000 11.625
Cs Pu Cl
4 6 18
Cartesian
1.238 0.723 2.884
-1.317 -0.723 8.696
11.784 0.723 2.929
9.228 -0.723 8.741
3.894 2.245 0.000
3.988 2.064 5.815
3.923 2.064 11.623
1.339 -2.245 5.812
6.543 -2.064 0.002
6.478 -2.064 5.810
6.483 3.848 0.705
4.235 1.988 2.911
6.538 3.848 5.107
1.287 0.785 6.476
1.306 0.819 10.943
3.955 1.713 8.719
3.843 -0.785 0.663
8.786 1.988 2.902
3.861 -0.819 5.131
6.605 0.819 6.494
1.680 -1.988 8.723
6.624 0.785 10.962
6.511 -1.713 2.906
9.160 -0.819 0.682
9.179 -0.785 5.149
3.928 -3.848 6.518
6.231 -1.988 8.714
3.983 -3.848 10.919
```

Properties
formation energy without anion corrections	-1783.6	meV/atom
total energy	-86.292	eV/f.u.
magnetic moment	0.405	μB per atom
space-group type	C2/c, No. 15

---

Record 2
CsPuCl5: relaxed, PBE.

Structure (POSCAR):
```
CsPuCl5
1.0
6.345 -4.384 0.000
6.345 4.384 0.000
-4.323 0.000 9.872
Cs Pu Cl
2 2 10
Cartesian
3.103 4.138 7.404
5.265 -4.138 2.468
6.345 0.000 0.000
4.184 0.000 4.936
0.910 2.317 9.679
2.175 1.116 3.856
5.297 2.317 5.129
0.014 -1.116 8.792
3.103 0.435 7.404
5.265 -0.435 2.468
8.355 1.116 1.080
3.071 -2.317 4.743
6.193 -1.116 6.016
7.458 -2.317 0.193
```

Properties
formation energy without anion corrections	-1795.9	meV/atom
total energy	-36.990	eV/f.u.
magnetic moment	0.571	μB per atom
space-group type	C2/c, No. 15

---

Record 3
Cs3PuCl7: relaxed, PBE.

Structure (POSCAR):
```
Cs3PuCl7
1.0
4.951 -5.109 0.000
4.951 5.109 0.000
-2.896 0.000 8.755
Cs Pu Cl
3 1 7
Cartesian
0.000 0.000 0.000
4.236 2.382 4.858
4.236 -2.382 4.858
4.671 0.000 0.582
0.449 1.808 8.028
2.872 0.000 2.526
5.945 1.874 1.835
0.449 -1.808 8.028
3.554 0.000 7.410
5.945 -1.874 1.835
7.079 0.000 5.371
```

Properties
formation energy without anion corrections	-1884.2	meV/atom
total energy	-50.545	eV/f.u.
magnetic moment	0.364	μB per atom
space-group type	Cm, No. 8

---

Record 4
CsRbPuCl4: relaxed, PBE.

Structure (POSCAR):
```
CsRbPuCl4
1.0
5.556 0.000 0.000
0.000 5.556 0.000
0.000 0.000 17.207
Cs Rb Pu Cl
2 2 2 8
Cartesian
0.000 0.000 0.000
2.778 2.778 8.603
0.000 0.000 12.327
2.778 2.778 3.723
0.000 0.000 6.172
2.778 2.778 14.776
0.000 0.000 3.355
0.000 0.000 9.018
0.000 2.778 6.100
0.000 2.778 14.703
2.778 0.000 6.100
2.778 0.000 14.703
2.778 2.778 0.415
2.778 2.778 11.959
```

Properties
formation energy without anion corrections	-1855.5	meV/atom
total energy	-36.528	eV/f.u.
magnetic moment	0.857	μB per atom
space-group type	I4mm, No. 107

---

Record 5
CsRbPuCl6: relaxed, PBE.

Structure (POSCAR):
```
CsRbPuCl6
1.0
8.058 0.000 0.000
-4.029 6.978 0.000
0.000 0.000 13.512
Cs Rb Pu Cl
2 2 2 12
Cartesian
0.000 0.000 0.000
0.000 0.000 6.756
0.000 4.652 3.378
4.029 2.326 10.134
0.000 4.652 10.134
4.029 2.326 3.378
-1.093 2.814 8.639
-2.139 4.625 11.630
1.093 2.814 11.630
-1.046 6.518 8.639
2.983 0.460 1.883
1.890 2.353 4.873
2.139 4.625 8.639
1.046 6.518 11.630
5.075 0.460 4.873
2.936 4.165 1.883
6.168 2.353 1.883
5.122 4.165 4.873
```

Properties
formation energy without anion corrections	-1879.1	meV/atom
total energy	-44.145	eV/f.u.
magnetic moment	0.444	μB per atom
space-group type	P-31c, No. 163

---

Record 6
Cs2RbPuCl5: relaxed, PBE.

Structure (POSCAR):
```
Cs2RbPuCl5
1.0
-2.743 3.963 8.381
2.743 -3.963 8.381
2.743 3.963 -8.381
Cs Rb Pu Cl
2 1 1 5
Cartesian
0.000 0.000 3.492
0.000 0.000 13.269
0.000 3.963 0.000
2.743 0.000 0.000
0.000 0.000 0.000
2.743 1.969 -2.052
2.743 1.969 2.052
0.000 1.994 6.329
0.000 1.994 10.433
```

Properties
formation energy without anion corrections	-1856.3	meV/atom
total energy	-42.947	eV/f.u.
magnetic moment	0.658	μB per atom
space-group type	Immm, No. 71

---

Record 7
CsRb2PuCl8: relaxed, PBE.

Structure (POSCAR):
```
CsRb2PuCl8
1.0
6.563 0.000 0.000
0.000 10.433 0.000
-0.774 0.000 6.868
Cs Rb Pu Cl
1 2 1 8
Cartesian
0.000 0.000 0.000
2.894 2.678 3.434
2.894 7.755 3.434
0.000 5.216 0.000
0.096 3.345 5.330
0.096 7.088 5.330
2.157 5.216 1.384
2.663 0.000 5.237
3.126 0.000 1.631
3.632 5.216 5.484
5.693 3.345 1.538
5.693 7.088 1.538
```

Properties
formation energy without anion corrections	-1685.5	meV/atom
total energy	-52.119	eV/f.u.
magnetic moment	0.346	μB per atom
space-group type	P2/m, No. 10

---

Record 8
Cs2PuScCl6: relaxed, PBE.

Structure (POSCAR):
```
Cs2PuScCl6
1.0
7.625 0.000 0.000
0.000 10.783 0.000
0.000 0.000 7.629
Cs Pu Sc Cl
4 2 2 12
Cartesian
1.906 0.000 1.908
1.906 5.392 1.908
5.719 10.783 5.721
5.719 5.392 5.721
1.906 2.696 5.718
5.719 8.087 1.911
1.906 8.087 5.725
5.719 2.696 1.904
0.076 8.087 3.897
0.079 8.087 7.557
1.906 5.501 5.720
1.906 10.674 5.720
3.737 8.087 3.897
3.734 8.087 7.557
3.891 2.696 0.072
3.889 2.696 3.732
5.719 0.109 1.909
5.719 5.282 1.909
7.547 2.696 0.072
7.549 2.696 3.732
```

Properties
formation energy without anion corrections	-1893.8	meV/atom
total energy	-52.388	eV/f.u.
magnetic moment	0.700	μB per atom
space-group type	Pmmn, No. 59

---

Record 9
Cs2PuSe2Cl2: relaxed, PBE.

Structure (POSCAR):
```
Cs2PuSe2Cl2
1.0
5.524 0.000 0.000
0.000 5.524 0.000
0.000 0.000 17.745
Cs Pu Se Cl
4 2 4 4
Cartesian
0.000 0.000 2.577
0.000 0.000 15.168
2.762 2.762 6.296
2.762 2.762 11.450
0.000 0.000 8.873
2.762 2.762 0.000
0.000 2.762 0.000
0.000 2.762 8.873
2.762 0.000 0.000
2.762 0.000 8.873
0.000 0.000 6.115
0.000 0.000 11.630
2.762 2.762 2.757
2.762 2.762 14.988
```

Properties
formation energy without anion corrections	-1619.7	meV/atom
total energy	-38.039	eV/f.u.
magnetic moment	0.571	μB per atom
space-group type	I4/mmm, No. 139

---

Record 10
CsPuSnCl6: relaxed, PBE.

Structure (POSCAR):
```
CsPuSnCl6
1.0
3.735 -6.409 0.000
3.735 6.409 0.000
-0.012 0.000 7.479
Cs Pu Sn Cl
1 1 1 6
Cartesian
0.000 0.000 0.000
3.729 2.146 3.740
3.729 -2.138 3.740
2.372 3.942 5.301
1.465 2.362 2.213
2.762 0.100 5.269
5.086 3.942 2.178
5.992 2.362 5.266
4.696 0.100 2.210
```

Properties
formation energy without anion corrections	-1662.4	meV/atom
total energy	-45.230	eV/f.u.
magnetic moment	0.556	μB per atom
space-group type	C2, No. 5

---

Record 11
CsPuSn2Cl8: relaxed, PBE.

Structure (POSCAR):
```
CsPuSn2Cl8
1.0
6.591 0.000 0.000
0.343 6.914 0.000
0.505 0.922 9.566
Cs Pu Sn Cl
1 1 2 8
Cartesian
0.000 0.000 0.000
0.252 0.461 4.783
3.490 3.594 2.468
3.950 4.242 7.098
1.973 6.022 2.888
1.949 2.645 4.418
2.356 6.605 6.712
1.926 2.798 0.658
5.513 5.038 8.908
5.083 1.231 2.854
5.491 5.191 5.148
5.467 1.814 6.678
```

Properties
formation energy without anion corrections	-1459.4	meV/atom
total energy	-55.477	eV/f.u.
magnetic moment	0.417	μB per atom
space-group type	P-1, No. 2

---

Record 12
CsPu2SnCl8: relaxed, PBE.

Structure (POSCAR):
```
CsPu2SnCl8
1.0
6.791 0.000 0.000
0.000 8.846 0.000
-0.182 0.000 6.990
Cs Pu Sn Cl
1 2 1 8
Cartesian
0.000 0.000 0.000
3.305 2.265 3.495
3.305 6.581 3.495
0.000 4.423 0.000
1.731 2.543 1.241
1.731 6.302 1.241
1.757 4.423 4.588
1.807 0.000 4.267
4.802 0.000 2.724
4.852 4.423 2.402
4.878 2.543 5.750
4.878 6.302 5.750
```

Properties
formation energy without anion corrections	-1667.4	meV/atom
total energy	-68.302	eV/f.u.
magnetic moment	0.917	μB per atom
space-group type	P2/m, No. 10

---

Record 13
Cs4PuSn3Cl12: relaxed, PBE.

Structure (POSCAR):
```
Cs4PuSn3Cl12
1.0
-5.651 5.651 5.651
5.651 -5.651 5.651
5.651 5.651 -5.651
Cs Pu Sn Cl
4 1 3 12
Cartesian
2.825 2.825 -2.825
2.825 -2.825 2.825
-2.825 2.825 2.825
2.825 2.825 2.825
0.000 0.000 0.000
5.651 0.000 0.000
0.000 5.651 0.000
0.000 0.000 5.651
2.784 0.000 0.000
8.517 0.000 0.000
0.000 2.784 0.000
0.000 0.000 2.784
5.651 2.825 0.000
5.651 0.000 2.825
2.825 5.651 0.000
2.825 0.000 5.651
0.000 5.651 2.825
0.000 2.825 5.651
0.000 8.517 0.000
0.000 0.000 8.517
```

Properties
formation energy without anion corrections	-1546.5	meV/atom
total energy	-82.845	eV/f.u.
magnetic moment	0.296	μB per atom
space-group type	Im-3m, No. 229

---

Record 14
CsSr2PuCl8: relaxed, PBE.

Structure (POSCAR):
```
CsSr2PuCl8
1.0
6.776 0.000 0.000
0.000 9.299 0.000
-0.047 0.000 6.823
Cs Sr Pu Cl
1 2 1 8
Cartesian
0.000 0.000 0.000
3.365 2.326 3.412
3.365 6.974 3.412
0.000 4.650 0.000
1.076 2.775 1.639
1.076 6.525 1.639
2.136 4.650 5.030
2.683 0.000 4.972
4.046 0.000 1.852
4.594 4.650 1.794
5.653 2.775 5.185
5.653 6.525 5.185
```

Properties
formation energy without anion corrections	-2173.8	meV/atom
total energy	-59.408	eV/f.u.
magnetic moment	0.417	μB per atom
space-group type	P2/m, No. 10

---

Record 15
CsSrPuCl6: relaxed, PBE.

Structure (POSCAR):
```
CsSrPuCl6
1.0
7.536 0.000 0.000
-3.768 6.526 0.000
0.000 0.000 14.784
Cs Sr Pu Cl
2 2 2 12
Cartesian
0.000 0.000 0.000
0.000 0.000 7.392
0.000 4.351 3.696
3.768 2.175 11.088
0.000 4.351 11.088
3.768 2.175 3.696
-1.317 2.508 9.550
-2.254 4.132 12.626
1.317 2.508 12.626
-0.937 6.413 9.550
2.831 0.114 2.158
1.514 2.395 5.234
2.254 4.132 9.550
0.937 6.413 12.626
4.705 0.114 5.234
2.451 4.018 2.158
6.022 2.395 2.158
5.085 4.018 5.234
```

Properties
formation energy without anion corrections	-2145.7	meV/atom
total energy	-47.258	eV/f.u.
magnetic moment	0.556	μB per atom
space-group type	P-31c, No. 163

---

Record 16
CsSrPu2Cl8: relaxed, PBE.

Structure (POSCAR):
```
CsSrPu2Cl8
1.0
6.812 0.000 0.000
0.000 8.948 0.000
-0.162 0.000 7.010
Cs Sr Pu Cl
1 1 2 8
Cartesian
0.000 0.000 0.000
0.000 4.474 0.000
3.325 2.271 3.505
3.325 6.677 3.505
1.732 2.542 1.255
1.732 6.407 1.255
1.793 4.474 4.611
1.832 0.000 4.289
4.818 0.000 2.721
4.857 4.474 2.399
4.918 2.542 5.755
4.918 6.407 5.755
```

Properties
formation energy without anion corrections	-2030.9	meV/atom
total energy	-70.344	eV/f.u.
magnetic moment	0.917	μB per atom
space-group type	P2/m, No. 10

---

Record 17
CsPuTeCl2: relaxed, PBE.

Structure (POSCAR):
```
CsPuTeCl2
1.0
2.269 -9.391 0.000
2.269 9.391 0.000
0.000 0.000 8.916
Cs Pu Te Cl
2 2 2 4
Cartesian
2.269 5.366 6.687
2.269 -5.366 2.229
2.269 0.000 0.000
2.269 0.000 4.458
2.269 9.381 2.229
2.269 -9.381 6.687
2.269 2.693 0.001
2.269 2.693 4.456
2.269 -2.693 8.914
2.269 -2.693 4.459
```

Properties
formation energy without anion corrections	-1618.7	meV/atom
total energy	-30.114	eV/f.u.
magnetic moment	1.000	μB per atom
space-group type	Cmcm, No. 63

---

Record 18
Cs3Pu2TlCl9: relaxed, PBE.

Structure (POSCAR):
```
Cs3Pu2TlCl9
1.0
8.103 0.000 0.000
-4.052 7.018 0.000
0.000 0.000 10.023
Cs Pu Tl Cl
3 2 1 9
Cartesian
0.000 0.000 0.000
0.000 4.678 6.394
4.052 2.339 3.629
0.000 4.678 1.564
4.052 2.339 8.459
0.000 0.000 5.012
-2.026 3.509 0.000
0.000 2.459 3.147
-1.922 5.788 3.147
2.129 1.229 6.876
4.052 0.000 0.000
2.026 3.509 0.000
1.922 5.788 3.147
5.974 1.229 6.876
4.052 4.559 6.876
```

Properties
formation energy without anion corrections	-1839.0	meV/atom
total energy	-77.795	eV/f.u.
magnetic moment	0.733	μB per atom
space-group type	P-3m1, No. 164

---

Record 19
CsPuTlCl6: relaxed, PBE.

Structure (POSCAR):
```
CsPuTlCl6
1.0
8.209 0.000 0.000
-4.104 7.109 0.000
0.000 0.000 11.632
Cs Pu Tl Cl
2 2 2 12
Cartesian
0.000 4.739 2.908
4.104 2.370 8.724
0.000 4.739 8.724
4.104 2.370 2.908
0.000 0.000 0.000
0.000 0.000 5.816
-0.974 2.835 7.228
-2.136 4.848 10.220
0.974 2.835 10.220
-1.162 6.535 7.228
2.942 0.574 1.412
1.968 2.261 4.404
2.136 4.848 7.228
1.162 6.535 10.220
5.267 0.574 4.404
3.131 4.274 1.412
6.240 2.261 1.412
5.078 4.274 4.404
```

Properties
formation energy without anion corrections	-1647.2	meV/atom
total energy	-43.456	eV/f.u.
magnetic moment	0.444	μB per atom
space-group type	P-31c, No. 163